Below is an optimized crystal structure of CrNiRh2, with properties calculated at the PBEsol level.

a = 2.6104 Å, b = 2.6104 Å, c = 8.4682 Å
α = 81.13°, β = 81.13°, γ = 60.00°
Last column: nearest neighbours and their distance in Å.
Sites, in units of the cell vectors:
Ni (0.0000, 0.0000, 0.0000)  6 Rh 2.61, 6 Ni 2.61
Rh (0.7518, 0.7518, 0.7447)  3 Cr 2.54, 3 Ni 2.61, 6 Rh 2.61
Rh (0.2482, 0.2482, 0.2553)  3 Cr 2.54, 3 Ni 2.61, 6 Rh 2.61
Cr (0.5000, 0.5000, 0.5000)  6 Rh 2.54, 6 Cr 2.61

Output
The value obtained for the total DFT energy (no corrections) is -8.184 eV/atom. For the volume, the calculation gives 49.2 Å³ per cell. For the formation enthalpy at 0 K, the calculation gives -0.014 eV per atom.